*A*
Material: Tl2Mo2C
Method: DFT, PBE
State: relaxed

The structure belongs to space group P4/mbm (No. 127); the cell edges are 6.6504, 6.6504 and 4.4660 Å and the angles 90.00°, 90.00° and 90.00°. Symmetry generates all atoms from Tl at (0.1725, 0.3275, 0.0000), Mo at (0.1230, 0.6230, 0.5000) and C at (0.0000, 0.0000, 0.0000).

The volume is 19.8 A^3/atom.

=====

*B*
Material: Tl2Mo2C
Method: DFT, PBE
State: relaxed

The structure belongs to space group I4/mmm (No. 139); the cell edges are 3.5007, 3.5007 and 16.5410 Å and the angles 90.00°, 90.00° and 90.00°. Symmetry generates all atoms from Tl at (0.0000, 0.0000, 0.0914), Mo at (0.0000, 0.5000, 0.2500) and C at (0.0000, 0.0000, 0.5000).

The volume is 20.3 A^3/atom.

=====

Result of the stability comparison: *B* is the most stable of them.

=====

*A*
Material: TlMo2C
Method: DFT, PBE
State: relaxed

The structure belongs to space group Fm-3m (No. 225); the cell edges are 6.2269, 6.2269 and 6.2269 Å and the angles 90.00°, 90.00° and 90.00°. Symmetry generates all atoms from Tl at (0.0000, 0.0000, 0.0000), Mo at (0.2500, 0.2500, 0.2500) and C at (0.0000, 0.0000, 0.5000).

The volume is 15.1 A^3/atom.

=====

*B*
Material: TlMo2C
Method: DFT, PBE
State: relaxed

The structure belongs to space group I-42d (No. 122); the cell edges are 5.2653, 5.2653 and 11.3351 Å and the angles 90.00°, 90.00° and 90.00°. Symmetry generates all atoms from Tl at (0.0000, 0.0000, 0.0000), Mo at (0.0939, 0.2500, 0.6250) and C at (0.0000, 0.0000, 0.5000).

The volume is 19.6 A^3/atom.

=====

Result of the stability comparison: *B* is the most stable of them.

=====

*A*
Material: Y2TlMoC
Method: DFT, PBE
State: relaxed

The structure belongs to space group P4/mmm (No. 123); the cell edges are 5.6366, 5.6366 and 5.1709 Å and the angles 90.00°, 90.00° and 90.00°. Symmetry generates all atoms from Y at (0.0000, 0.5000, 0.0000), Tl at (0.0000, 0.0000, 0.0000), Mo at (0.0000, 0.0000, 0.5000) and C at (0.5000, 0.5000, 0.5000).

The volume is 32.9 A^3/atom.

=====

*B*
Material: Y2TlMoC
Method: DFT, PBE
State: relaxed

The structure belongs to space group P4/mmm (No. 123); the cell edges are 4.9827, 4.9827 and 4.1658 Å and the angles 90.00°, 90.00° and 90.00°. Symmetry generates all atoms from Y at (0.0000, 0.5000, 0.0000), Tl at (0.0000, 0.0000, 0.5000), Mo at (0.5000, 0.5000, 0.5000) and C at (0.5000, 0.5000, 0.0000).

The volume is 20.7 A^3/atom.

=====

Result of the stability comparison: *B* is the most stable of them.

=====

*A*
Material: VMo2C
Method: DFT, PBE
State: relaxed

The structure belongs to space group R-3m (No. 166, hexagonal axes); the cell edges are 2.9554, 2.9554 and 22.0761 Å and the angles 90.00°, 90.00° and 120.00°. Symmetry generates all atoms from V at (0.0000, 0.0000, 0.0000), Mo at (0.0000, 0.0000, 0.1101) and C at (0.0000, 0.0000, 0.5000).

The volume is 13.9 A^3/atom.

=====

*B*
Material: VMo2C
Method: DFT, PBE
State: relaxed

The structure belongs to space group I-42d (No. 122); the cell edges are 7.1673, 7.1673 and 4.2435 Å and the angles 90.00°, 90.00° and 90.00°. Symmetry generates all atoms from V at (0.0000, 0.0000, 0.0000), Mo at (0.1344, 0.2500, 0.6250) and C at (0.0000, 0.0000, 0.5000).

The volume is 13.6 A^3/atom.

=====

*C*
Material: VMo2C
Method: DFT, PBE
State: relaxed

The structure belongs to space group Fm-3m (No. 225); the cell edges are 5.8554, 5.8554 and 5.8554 Å and the angles 90.00°, 90.00° and 90.00°. Symmetry generates all atoms from V at (0.0000, 0.0000, 0.0000), Mo at (0.2500, 0.2500, 0.2500) and C at (0.0000, 0.0000, 0.5000).

The volume is 12.5 A^3/atom.

=====

Result of the stability comparison: *B* is the most stable of them.

=====

*A*
Material: VMoC2
Method: DFT, PBE
State: relaxed

The structure belongs to space group R3m (No. 160, hexagonal axes); the cell edges are 2.9836, 2.9836 and 15.4411 Å and the angles 90.00°, 90.00° and 120.00°. Symmetry generates all atoms from V at (0.0000, 0.0000, 0.0000), Mo at (0.0000, 0.0000, 0.8215), C at (0.0000, 0.0000, 0.2428) and C at (0.0000, 0.0000, 0.4037).

The volume is 9.9 A^3/atom.

=====

*B*
Material: VMoC2
Method: DFT, PBE
State: relaxed

The structure belongs to space group Fm-3m (No. 225); the cell edges are 5.3187, 5.3187 and 5.3187 Å and the angles 90.00°, 90.00° and 90.00°. Symmetry generates all atoms from V at (0.0000, 0.0000, 0.0000), Mo at (0.0000, 0.0000, 0.5000) and C at (0.2500, 0.2500, 0.2500).

The volume is 9.4 A^3/atom.

=====

*C*
Material: VMoC2
Method: DFT, PBE
State: relaxed

The structure belongs to space group I-42d (No. 122); the cell edges are 4.6122, 4.6122 and 9.2088 Å and the angles 90.00°, 90.00° and 90.00°. Symmetry generates all atoms from V at (0.0000, 0.0000, 0.0000), Mo at (0.0000, 0.0000, 0.5000) and C at (0.2411, 0.2500, 0.1250).

The volume is 12.2 A^3/atom.

=====

Result of the stability comparison: *A* is the most stable of them.

=====

*A*
Material: MoWC2
Method: DFT, PBE
State: relaxed

The structure belongs to space group Fm-3m (No. 225); the cell edges are 5.4520, 5.4520 and 5.4520 Å and the angles 90.00°, 90.00° and 90.00°. Symmetry generates all atoms from Mo at (0.0000, 0.0000, 0.0000), W at (0.0000, 0.0000, 0.5000) and C at (0.2500, 0.2500, 0.2500).

The volume is 10.1 A^3/atom.

=====

*B*
Material: MoWC2
Method: DFT, PBE
State: relaxed

The structure belongs to space group Cm (No. 8); the cell edges are 6.3548, 2.8935 and 5.0053 Å and the angles 90.00°, 90.27° and 90.00°. Symmetry generates all atoms from Mo at (0.0000, 0.0000, 0.0000), W at (0.2309, 0.0000, 0.5041), C at (0.0232, 0.5000, 0.3257) and C at (0.2060, 0.5000, 0.8229).

The volume is 11.5 A^3/atom.

=====

Result of the stability comparison: *B* is the most stable of them.

=====

*A*
Material: MoWC2
Method: DFT, PBE
State: relaxed

The structure belongs to space group R3m (No. 160, hexagonal axes); the cell edges are 3.1082, 3.1082 and 23.3136 Å and the angles 90.00°, 90.00° and 120.00°. Symmetry generates all atoms from Mo at (0.0000, 0.0000, 0.0000), W at (0.0000, 0.0000, 0.7696), C at (0.0000, 0.0000, 0.2951) and C at (0.0000, 0.0000, 0.4743).

The volume is 16.3 A^3/atom.

=====

*B*
Material: MoWC2
Method: DFT, PBE
State: relaxed

The structure belongs to space group F-43m (No. 216); the cell edges are 5.7494, 5.7494 and 5.7494 Å and the angles 90.00°, 90.00° and 90.00°. Symmetry generates all atoms from Mo at (0.0000, 0.0000, 0.0000), W at (0.2500, 0.2500, 0.7500), C at (0.0000, 0.0000, 0.5000) and C at (0.2500, 0.2500, 0.2500).

The volume is 11.9 A^3/atom.

=====

Result of the stability comparison: *A* is the most stable of them.

=====

*A*
Material: MoWC2
Method: DFT, PBE
State: relaxed

The structure belongs to space group R3m (No. 160, hexagonal axes); the cell edges are 2.9712, 2.9712 and 16.5596 Å and the angles 90.00°, 90.00° and 120.00°. Symmetry generates all atoms from Mo at (0.0000, 0.0000, 0.0000), W at (0.0000, 0.0000, 0.8305), C at (0.0000, 0.0000, 0.2480) and C at (0.0000, 0.0000, 0.4139).

The volume is 10.6 A^3/atom.

=====

*B*
Material: MoWC2
Method: DFT, PBE
State: relaxed

The structure belongs to space group C2/m (No. 12); the cell edges are 5.9191, 6.0363 and 3.0205 Å and the angles 90.00°, 119.64° and 90.00°. Symmetry generates all atoms from Mo at (0.0000, 0.0000, 0.0000), W at (0.0000, 0.5000, 0.0000) and C at (0.2500, 0.2500, 0.0000).

The volume is 11.7 A^3/atom.

=====

Result of the stability comparison: *A* is the most stable of them.

=====

*A*
Material: MoWC2
Method: DFT, PBE
State: relaxed

The structure belongs to space group Pmmm (No. 47); the cell edges are 2.9168, 2.9975 and 4.9566 Å and the angles 90.00°, 90.00° and 90.00°. Symmetry generates all atoms from Mo at (0.0000, 0.0000, 0.0000), W at (0.0000, 0.5000, 0.5000) and C at (0.5000, 0.5000, 0.1660).

The volume is 10.8 A^3/atom.

=====

*B*
Material: MoWC2
Method: DFT, PBE
State: relaxed

The structure belongs to space group R-3m (No. 166, hexagonal axes); the cell edges are 3.1194, 3.1194 and 15.0478 Å and the angles 90.00°, 90.00° and 120.00°. Symmetry generates all atoms from Mo at (0.0000, 0.0000, 0.0000), W at (0.0000, 0.0000, 0.5000) and C at (0.0000, 0.0000, 0.2486).

The volume is 10.6 A^3/atom.

=====

*C*
Material: MoWC2
Method: DFT, PBE
State: relaxed

The structure belongs to space group Pmm2 (No. 25); the cell edges are 2.8405, 2.9302 and 5.0684 Å and the angles 90.00°, 90.00° and 90.00°. Symmetry generates all atoms from Mo at (0.0000, 0.0000, 0.0000), W at (0.0000, 0.5000, 0.5013), C at (0.5000, 0.0000, 0.3360) and C at (0.5000, 0.5000, 0.8326).

The volume is 10.5 A^3/atom.

=====

*D*
Material: MoWC2
Method: DFT, PBE
State: relaxed

The structure belongs to space group Immm (No. 71); the cell edges are 2.9496, 5.2966 and 6.0405 Å and the angles 90.00°, 90.00° and 90.00°. Symmetry generates all atoms from Mo at (0.0000, 0.0000, 0.0000), W at (0.0000, 0.0000, 0.5000) and C at (0.0000, 0.5000, 0.2478).

The volume is 11.8 A^3/atom.

=====

Result of the stability comparison: *C* is the most stable of them.

=====

*A*
Material: MoWC2
Method: DFT, PBE
State: relaxed

The structure belongs to space group Pm (No. 6); the cell edges are 2.8900, 3.9237 and 3.9800 Å and the angles 90.00°, 108.39° and 90.00°. Symmetry generates all atoms from Mo at (0.0000, 0.0000, 0.0000), W at (0.6512, 0.5000, 0.4886), C at (0.3241, 0.5000, 0.9261) and C at (0.3348, 0.0000, 0.5638).

The volume is 10.7 A^3/atom.

=====

*B*
Material: MoWC2
Method: DFT, PBE
State: relaxed

The structure belongs to space group P4/mmm (No. 123); the cell edges are 3.8527, 3.8527 and 2.7310 Å and the angles 90.00°, 90.00° and 90.00°. Symmetry generates all atoms from Mo at (0.0000, 0.0000, 0.0000), W at (0.5000, 0.5000, 0.0000) and C at (0.0000, 0.5000, 0.5000).

The volume is 10.1 A^3/atom.

=====

*C*
Material: MoWC2
Method: DFT, PBE
State: relaxed

The structure belongs to space group Imm2 (No. 44); the cell edges are 2.8837, 2.8884 and 10.1246 Å and the angles 90.00°, 90.00° and 90.00°. Symmetry generates all atoms from Mo at (0.0000, 0.0000, 0.0000), W at (0.0000, 0.5000, 0.7496), C at (0.0000, 0.0000, 0.5830) and C at (0.0000, 0.5000, 0.3313).

The volume is 10.5 A^3/atom.

=====

Result of the stability comparison: *C* is the most stable of them.

=====

*A*
Material: MoWC2
Method: DFT, PBE
State: relaxed

The structure belongs to space group Cmmm (No. 65); the cell edges are 2.9641, 5.2898 and 6.0130 Å and the angles 90.00°, 90.00° and 90.00°. Symmetry generates all atoms from Mo at (0.0000, 0.0000, 0.0000), W at (0.0000, 0.0000, 0.5000) and C at (0.0000, 0.5000, 0.2507).

The volume is 11.8 A^3/atom.

=====

*B*
Material: MoWC2
Method: DFT, PBE
State: relaxed

The structure belongs to space group P4mm (No. 99); the cell edges are 3.0724, 3.0724 and 4.4726 Å and the angles 90.00°, 90.00° and 90.00°. Symmetry generates all atoms from Mo at (0.0000, 0.0000, 0.0000), W at (0.5000, 0.5000, 0.4506), C at (0.0000, 0.0000, 0.4925) and C at (0.5000, 0.5000, 0.9506).

The volume is 10.6 A^3/atom.

=====

Result of the stability comparison: *B* is the most stable of them.

=====

*A*
Material: Mo3WC
Method: DFT, PBE
State: relaxed

The structure belongs to space group Pm-3m (No. 221); the cell edges are 4.1547, 4.1547 and 4.1547 Å and the angles 90.00°, 90.00° and 90.00°. Symmetry generates all atoms from Mo at (0.0000, 0.0000, 0.5000), W at (0.5000, 0.5000, 0.5000) and C at (0.0000, 0.0000, 0.0000).

The volume is 14.3 A^3/atom.

=====

*B*
Material: Mo3WC
Method: DFT, PBE
State: relaxed

The structure belongs to space group Pm-3m (No. 221); the cell edges are 4.7439, 4.7439 and 4.7439 Å and the angles 90.00°, 90.00° and 90.00°. Symmetry generates all atoms from Mo at (0.0000, 0.0000, 0.5000), W at (0.0000, 0.0000, 0.0000) and C at (0.5000, 0.5000, 0.5000).

The volume is 21.4 A^3/atom.

=====

Result of the stability comparison: *A* is the most stable of them.